Below is crystalline Sm5SbPd2 at its relaxed geometry, with properties calculated at the PBE level.

Lattice parameters (Å, degrees): 8.0074 8.0074 13.6438 90.00 90.00 90.00
Closest atoms and distances in Å follow each position.
Space group I4/mcm (No. 140)
Unique sites:
1 Sm 0.0000 0.0000 0.0000 [4 per cell]  4 Pd 3.12, 2 Sb 3.41
2 Sm 0.1566 0.3434 0.1425 [16 per cell]  3 Pd 3.04-3.07, 2 Sb 3.36
3 Sb 0.0000 0.0000 0.2500 [4 per cell]  10 Sm 3.36-3.41
4 Pd 0.1341 0.3659 0.5000 [8 per cell]  1 Pd 3.04, 8 Sm 3.04-3.12



Below is crystalline PaTl2Pt3O12 at its relaxed geometry, with properties calculated at the PBE level.

Lattice parameters (Å, degrees): 7.2386 7.2386 19.2823 90.00 90.00 120.00
Closest atoms and distances in Å follow each position.
Space group R-3m (No. 166, hexagonal axes)
Unique sites:
1 Pa 0.0000 0.0000 0.0000 [3 per cell]  6 O 2.13
2 Tl 0.0000 0.0000 0.4026 [6 per cell]  3 O 2.88
3 Pt 0.0000 0.5000 0.5000 [9 per cell]  6 O 1.97
4 O 0.0522 0.5261 0.8496 [18 per cell]  2 Pt 1.97
5 O 0.0615 0.5308 0.6001 [18 per cell]  1 Pt 1.97, 1 Pa 2.13



Below is crystalline MgGa7Tc2 at its relaxed geometry, with properties calculated at the PBE level.

Lattice parameters (Å, degrees): 7.2135 12.0870 4.8636 90.00 90.00 90.00
Closest atoms and distances in Å follow each position.
Space group Cmmm (No. 65)
Unique sites:
1 Mg 0.0000 0.0000 0.0000 [2 per cell]  8 Ga 3.09
2 Ga 0.0000 0.3004 0.0000 [4 per cell]  2 Tc 2.44
3 Ga 0.0000 0.5000 0.5000 [2 per cell]  2 Tc 2.56, 4 Ga 2.61
4 Ga 0.1895 0.1106 0.5000 [8 per cell]  2 Tc 2.55, 3 Ga 2.61-2.73
5 Tc 0.0000 0.2882 0.5000 [4 per cell]  7 Ga 2.44-2.56

Calculated values
Formation energy   0.551 eV/f.u.



Below is crystalline Cr2TeRhN at its relaxed geometry, with properties calculated at the PBE level.

Lattice parameters (Å, degrees): 5.0109 5.0109 4.8311 90.00 90.00 90.00
Closest atoms and distances in Å follow each position.
Space group P4/mmm (No. 123)
Unique sites:
1 Cr 0.0000 0.5000 0.0000 [2 per cell]  2 Rh 2.51
2 Te 0.0000 0.0000 0.5000 [1 per cell]  2 Rh 2.42
3 Rh 0.0000 0.0000 0.0000 [1 per cell]  2 Te 2.42, 4 Cr 2.51
4 N 0.5000 0.5000 0.5000 [1 per cell]  8 Cr 3.48, 4 Te 3.54



Below is crystalline TlAg4PbCl8 at its relaxed geometry, with properties calculated at the PBE level.

Lattice parameters (Å, degrees): 8.1241 8.1241 20.7287 90.00 90.00 120.00
Closest atoms and distances in Å follow each position.
Space group R3m (No. 160, hexagonal axes)
Unique sites:
1 Tl 0.0000 0.0000 0.0000 [3 per cell]  4 Cl 2.76-2.78
2 Ag 0.0000 0.0000 0.2722 [3 per cell]  4 Cl 2.61-2.67
3 Ag 0.0023 0.5012 0.1341 [9 per cell]  6 Cl 2.72-2.87
4 Pb 0.0000 0.0000 0.6298 [3 per cell]  6 Cl 2.82-3.02
5 Cl 0.0000 0.0000 0.3980 [3 per cell]  4 Ag 2.61-2.74
6 Cl 0.0000 0.0000 0.8661 [3 per cell]  3 Ag 2.72, 1 Tl 2.78
7 Cl 0.0157 0.5079 0.3946 [9 per cell]  2 Ag 2.75, 1 Tl 2.76, 1 Pb 3.02
8 Cl 0.1711 0.3423 0.2162 [9 per cell]  3 Ag 2.67-2.87, 1 Pb 2.82



Below is crystalline HfSiIr2 at its relaxed geometry, with properties calculated at the PBE level.

Lattice parameters (Å, degrees): 13.7019 6.9798 5.2223 90.00 90.00 90.00
Closest atoms and distances in Å follow each position.
Space group Pnma (No. 62)
Unique sites:
1 Hf 0.1135 0.2500 0.2345 [4 per cell]  3 Si 2.71-2.82, 6 Ir 2.86-2.94
2 Hf 0.1369 0.7500 0.0138 [4 per cell]  3 Si 2.77-2.79, 6 Ir 2.84-2.98
3 Si 0.0688 0.7500 0.5151 [4 per cell]  6 Ir 2.45-2.47
4 Si 0.1792 0.2500 0.7444 [4 per cell]  6 Ir 2.43-2.48, 1 Hf 2.71
5 Ir 0.0323 0.0440 0.7577 [8 per cell]  3 Si 2.45-2.47
6 Ir 0.2166 0.5475 0.5243 [8 per cell]  3 Si 2.43-2.48



Going through the records in order, we get E values of -0.2014, -0.2227, -0.1579, -0.2189, -0.1081, -0.3383 hartree per atom.